{"formula": "CaAcGeBr", "functional": "GGA-PBE", "state": "relaxed", "space_group": "F-43m", "dos_ef_per_ev_atom": 0.0776, "mass_density_kg_m3": 6102, "energy_ev_per_fu": -16.30, "magnetic_moment_mub_per_cell": 0.00, "cell": [[-0.858, 5.045, -1.862], [-4.581, 2.640, 1.302], [0.175, 4.232, 3.422]], "species": ["Ac", "Ca", "Ge", "Br"], "frac_coords": [[0.250, 0.250, 0.250], [0.750, 0.750, 0.750], [0.000, 0.000, 0.000], [0.500, 0.500, 0.500]]}


{"formula": "CaAcInBr6", "functional": "GGA-PBE", "state": "relaxed", "space_group": "P-31c", "dos_ef_per_ev_atom": 0.0000, "mass_density_kg_m3": 3871, "energy_ev_per_fu": -34.37, "magnetic_moment_mub_per_cell": 0.00, "cell": [[7.762, 0.000, 0.000], [-3.881, 6.722, 0.000], [0.000, 0.000, 14.162]], "species": ["Ca", "Ca", "Ac", "Ac", "In", "In", "Br", "Br", "Br", "Br", "Br", "Br", "Br", "Br", "Br", "Br", "Br", "Br"], "frac_coords": [[0.667, 0.333, 0.250], [0.333, 0.667, 0.750], [0.333, 0.667, 0.250], [0.667, 0.333, 0.750], [0.000, 0.000, 0.000], [0.000, 0.000, 0.500], [0.643, 0.631, 0.132], [0.988, 0.357, 0.132], [0.357, 0.988, 0.632], [0.012, 0.643, 0.868], [0.369, 0.357, 0.368], [0.988, 0.631, 0.368], [0.631, 0.988, 0.868], [0.643, 0.012, 0.368], [0.012, 0.369, 0.632], [0.369, 0.012, 0.132], [0.631, 0.643, 0.632], [0.357, 0.369, 0.868]]}